Material: PuPa2SiN5
Method: DFT, PBE
State: relaxed

Geometry as CIF:
```
data_PuPa2SiN5
_chemical_formula_sum 'Pu2 Pa4 Si2 N10'
_space_group_name_H-M_alt 'P 1'
_space_group_IT_number 1
_cell_length_a 5.5282
_cell_length_b 6.5659
_cell_length_c 6.5659
_cell_angle_alpha 90.00
_cell_angle_beta 90.00
_cell_angle_gamma 90.00
loop_
_space_group_symop_operation_xyz
'x,y,z'
loop_
_atom_site_label
_atom_site_fract_x
_atom_site_fract_y
_atom_site_fract_z
Pu1 0.0000 0.5000 0.5000
Pu2 0.0000 0.0000 0.0000
Pa1 0.5000 0.6768 0.1768
Pa2 0.5000 0.1768 0.3232
Pa3 0.5000 0.8232 0.6768
Pa4 0.5000 0.3232 0.8232
Si1 0.0000 0.0000 0.5000
Si2 0.0000 0.5000 0.0000
N1 0.5000 0.5000 0.5000
N2 0.5000 0.0000 0.0000
N3 0.2340 0.1399 0.6399
N4 0.2340 0.8601 0.3601
N5 0.2340 0.3601 0.1399
N6 0.2340 0.6399 0.8601
N7 0.7660 0.1399 0.6399
N8 0.7660 0.6399 0.8601
N9 0.7660 0.8601 0.3601
N10 0.7660 0.3601 0.1399
```

Results
Space group = P4/mbm (127)
M_tot = 0.5796 μB per atom
Formation energy without anion corrections = -1180 meV per atom
Crystal system = tetragonal
Calculated total energy = -10.111 eV/atom

Material: SmPuPaN4
Method: DFT, PBE
State: relaxed

Geometry as CIF:
```
data_SmPuPaN4
_chemical_formula_sum 'Sm1 Pu1 Pa1 N4'
_space_group_name_H-M_alt 'P 1'
_space_group_IT_number 1
_cell_length_a 3.6348
_cell_length_b 3.6348
_cell_length_c 8.6612
_cell_angle_alpha 102.11
_cell_angle_beta 102.11
_cell_angle_gamma 90.00
loop_
_space_group_symop_operation_xyz
'x,y,z'
loop_
_atom_site_label
_atom_site_fract_x
_atom_site_fract_y
_atom_site_fract_z
Sm1 0.3098 0.3098 0.6197
Pu1 0.9726 0.9726 0.9451
Pa1 0.6264 0.6264 0.2528
N1 0.0416 0.5416 0.0833
N2 0.5416 0.0416 0.0833
N3 0.8309 0.8309 0.6618
N4 0.1770 0.1770 0.3540
```

Results
Space group = I4mm (107)
M_tot = 0.5670 μB per atom
Formation energy without anion corrections = -1140 meV per atom
Crystal system = tetragonal
Calculated total energy = -9.975 eV/atom

Material: SmPu2PaN4
Method: DFT, PBE
State: relaxed

Geometry as CIF:
```
data_SmPu2PaN4
_chemical_formula_sum 'Sm1 Pu2 Pa1 N4'
_space_group_name_H-M_alt 'P 1'
_space_group_IT_number 1
_cell_length_a 3.5278
_cell_length_b 6.1065
_cell_length_c 6.0784
_cell_angle_alpha 110.01
_cell_angle_beta 90.00
_cell_angle_gamma 90.00
loop_
_space_group_symop_operation_xyz
'x,y,z'
loop_
_atom_site_label
_atom_site_fract_x
_atom_site_fract_y
_atom_site_fract_z
Sm1 0.5000 0.5000 0.0000
Pu1 0.5000 0.0000 0.5000
Pu2 0.0000 0.5000 0.5000
Pa1 0.0000 0.0000 0.0000
N1 0.5000 0.2342 0.2390
N2 0.5000 0.7658 0.7610
N3 0.0000 0.2289 0.7450
N4 0.0000 0.7711 0.2550
```

Results
Space group = P2/m (10)
M_tot = 0.0825 μB per atom
Formation energy without anion corrections = -1403 meV per atom
Crystal system = monoclinic
Calculated total energy = -10.926 eV/atom